The following is a DFT calculation (GGA-PBE) of a geometry-optimized AlCr2Sb2 structure.

The structure belongs to space group I4/mmm (No. 139); the cell edges are 5.2499, 5.2499 and 7.1147 Å and the angles 90.00°, 90.00° and 90.00°. The asymmetric unit holds Al at (0.0000, 0.0000, 0.0000), Cr at (0.0000, 0.0000, 0.3679) and Sb at (0.0000, 0.5000, 0.2500).

The uncorrected formation energy comes out at 47.9 kJ/mol of atoms. The value obtained for the offset from the most stable computed form is 0.202 eV per atom.



The following is a DFT calculation (GGA-PBE) of a geometry-optimized Al3CrSb structure.

The structure belongs to space group Pm-3m (No. 221); the cell edges are 5.1981, 5.1981 and 5.1981 Å and the angles 90.00°, 90.00° and 90.00°. The asymmetric unit holds Al at (0.0000, 0.0000, 0.5000), Cr at (0.5000, 0.5000, 0.5000) and Sb at (0.0000, 0.0000, 0.0000).

The uncorrected formation energy comes out at 165.6 kJ/mol of atoms.



The following is a DFT calculation (GGA-PBE) of a geometry-optimized AlCrSb structure.

The structure belongs to space group I4mm (No. 107); the cell edges are 3.3793, 3.3793 and 8.4829 Å and the angles 90.00°, 90.00° and 90.00°. The asymmetric unit holds Al at (0.0000, 0.0000, 0.0000), Cr at (0.0000, 0.0000, 0.6555) and Sb at (0.0000, 0.0000, 0.3172).

The uncorrected formation energy comes out at 9.9 kJ/mol of atoms. The value obtained for the offset from the most stable computed form is 0.112 eV per atom.



The following is a DFT calculation (GGA-PBE) of a geometry-optimized AlCrSb structure.

The structure belongs to space group P3m1 (No. 156); the cell edges are 4.7706, 4.7706 and 3.0577 Å and the angles 90.00°, 90.00° and 120.00°. The asymmetric unit holds Al at (0.0000, 0.0000, 0.0000), Cr at (0.6667, 0.3333, 0.3525) and Sb at (0.3333, 0.6667, 0.7597).

The uncorrected formation energy comes out at 44.7 kJ/mol of atoms. The value obtained for the offset from the most stable computed form is 0.473 eV per atom.